No. 1
Here is a relaxed structure of Tb5PmTl from Alexandria via LeMat-Bulk. Energies are from PBE-GGA.

a = 7.1021 Å, b = 7.1021 Å, c = 7.1021 Å
α = 127.02°, β = 125.24°, γ = 79.68°
Last column: nearest neighbours and their distance in Å.
Element x y z (fractional)
Tb 0.0000 0.0000 0.0000  1 Tl 3.01, 2 Tb 3.26
Tb 0.4720 0.2139 0.7419  4 Tb 3.07-3.39, 1 Tl 3.20
Tb 0.4720 0.7301 0.2581  4 Tb 3.07-3.39, 1 Tl 3.20
Tb 0.5202 0.2525 0.2677  4 Tb 3.03-3.39
Tb 0.9848 0.2525 0.7323  4 Tb 3.03-3.39
Pm 0.1234 0.6234 0.5000  2 Tb 3.44, 2 Tl 3.44
Tl 0.7239 0.7239 0.0000  3 Tb 3.01-3.20

formation energy = 0.112 eV/atom
M_tot = 0.00 Bohr magnetons per cell
density of states at the Fermi level = 9.40 states/eV per cell
space-group type = Imm2

***

No. 2
Here is a relaxed structure of Tb5PmTl2 from Alexandria via LeMat-Bulk. Energies are from PBE-GGA.

a = 8.4637 Å, b = 8.4637 Å, c = 8.4637 Å
α = 155.03°, β = 102.86°, γ = 82.58°
Last column: nearest neighbours and their distance in Å.
Element x y z (fractional)
Tb 0.0000 0.0000 0.0000  2 Tl 3.33, 10 Tb 3.46-3.66
Tb 0.0911 0.3652 0.7259  3 Tl 3.18-3.41, 5 Tb 3.43-3.49
Tb 0.3608 0.6348 0.7259  3 Tl 3.18-3.41, 5 Tb 3.43-3.49
Tb 0.6392 0.3652 0.2741  3 Tl 3.18-3.41, 5 Tb 3.43-3.49
Tb 0.9089 0.6348 0.2741  3 Tl 3.18-3.41, 5 Tb 3.43-3.49
Pm 0.5000 0.0000 0.5000  4 Tl 3.54, 2 Pm 3.66, 8 Tb 3.83
Tl 0.2622 0.2622 0.0000  7 Tb 3.18-3.41, 2 Pm 3.54
Tl 0.7378 0.7378 0.0000  7 Tb 3.18-3.41, 2 Pm 3.54

formation energy = -0.124 eV/atom
M_tot = 0.00 Bohr magnetons per cell
density of states at the Fermi level = 11.16 states/eV per cell
space-group type = Immm

***

> Which value of formation energy does entry 2 give?

-0.124 eV/atom

***

> Which of these has the highest density of states at the Fermi level?

Tb5PmTl2

***

> Which of these has the lowest formation energy?

Tb5PmTl2